This record from Alexandria describes a geometry-optimized Ga2SnRh structure. The functional is PBE-GGA.

## Properties
energy of formation from the pure elements: -75 meV/atom
total energy: -4.427 eV per atom
symmetry: I-42d, No. 122

Lattice parameters (Å, degrees): 6.163 6.163 6.163 100.29 100.29 130.01
Fractional positions:
Ga (0.062, 0.625, 0.937)
Ga (0.375, 0.312, 0.437)
Ga (0.688, 0.125, 0.063)
Ga (0.875, 0.938, 0.563)
Sn (0.250, 0.750, 0.500)
Sn (0.500, 0.500, 0.000)
Rh (0.000, 0.000, 0.000)
Rh (0.750, 0.250, 0.500)